This record from Alexandria via LeMat-Bulk describes crystalline TaTiSn2 at its relaxed geometry. The functional is PBE.

Cell lengths 3.1242, 3.1242, 28.5379 Å; angles 90.00, 90.00, 120.00 degrees
Space group R-3m (No. 166, hexagonal axes)
One atom of each set of equivalent atoms:
Ta1 0.0000 0.0000 0.0000 x3
Ti1 0.0000 0.0000 0.5000 x3
Sn1 0.0000 0.0000 0.2488 x6

- relative energy among the computed polymorphs (eV per atom) = 0.000